Record 1
# Pr7Hg3 (PBE, optimized geometry)
# Electronic total energy = -73.6 eV/cell
data_Pr7Hg3
_cell_length_a 10.6440
_cell_length_b 10.6440
_cell_length_c 6.6952
_cell_angle_alpha 90.00
_cell_angle_beta 90.00
_cell_angle_gamma 120.00
_symmetry_space_group_name_H-M 'P 63 m c'
_symmetry_Int_Tables_number 186
_symmetry_space_group_name_Hall 'P 6c -2c'
loop_
_atom_site_label
_atom_site_fract_x
_atom_site_fract_y
_atom_site_fract_z
Pr1 0.0646 0.5323 0.0000
Pr2 0.1257 0.2513 0.2593
Pr3 0.3333 0.6667 0.4092
Hg1 0.1970 0.3939 0.7046



Record 2
# Pr2Hg17 (PBE, optimized geometry)
# Electronic total energy = -50.1 eV/cell
data_Pr2Hg17
_cell_length_a 8.8254
_cell_length_b 8.8254
_cell_length_c 23.5054
_cell_angle_alpha 90.00
_cell_angle_beta 90.00
_cell_angle_gamma 120.00
_symmetry_space_group_name_H-M 'R -3 m'
_symmetry_Int_Tables_number 166
_symmetry_space_group_name_Hall '-R 3 2"'
loop_
_atom_site_label
_atom_site_fract_x
_atom_site_fract_y
_atom_site_fract_z
Pr1 0.0000 0.0000 0.2366
Hg1 0.0000 0.0000 0.4143
Hg2 0.0000 0.3243 0.5000
Hg3 0.0000 0.5000 0.0000
Hg4 0.0878 0.5439 0.6125



Record 3
# PrHg3 (PBE, optimized geometry)
# Electronic total energy = -14.4 eV/cell
data_PrHg3
_cell_length_a 5.2222
_cell_length_b 7.1876
_cell_length_c 5.4586
_cell_angle_alpha 90.00
_cell_angle_beta 90.00
_cell_angle_gamma 90.00
_symmetry_space_group_name_H-M 'P m m n'
_symmetry_Int_Tables_number 59
loop_
_symmetry_equiv_pos_as_xyz
'x,y,z'
'-x,-y,-z'
'-x+1/2,-y+1/2,z'
'x+1/2,y+1/2,-z'
'x+1/2,-y,-z'
'-x+1/2,y,z'
'-x,y+1/2,-z'
'x,-y+1/2,z'
loop_
_atom_site_label
_atom_site_fract_x
_atom_site_fract_y
_atom_site_fract_z
Pr1 0.2500 0.2500 0.1811
Hg1 0.2500 0.5008 0.6871
Hg2 0.2500 0.7500 0.1994



Record 4
# PrHg7 (PBE, optimized geometry)
# Electronic total energy = -16.6 eV/cell
data_PrHg7
_cell_length_a 4.7601
_cell_length_b 4.7601
_cell_length_c 18.3035
_cell_angle_alpha 90.00
_cell_angle_beta 90.00
_cell_angle_gamma 90.00
_symmetry_space_group_name_H-M 'I 4/m m m'
_symmetry_Int_Tables_number 139
_symmetry_space_group_name_Hall '-I 4 2'
loop_
_atom_site_label
_atom_site_fract_x
_atom_site_fract_y
_atom_site_fract_z
Pr1 0.0000 0.0000 0.0000
Hg1 0.0000 0.0000 0.2499
Hg2 0.0000 0.0000 0.5000
Hg3 0.0000 0.5000 0.1271



Record 5
# PrHg2 (PBE, optimized geometry)
# Electronic total energy = -13.0 eV/cell
data_PrHg2
_cell_length_a 4.0096
_cell_length_b 4.0096
_cell_length_c 10.1754
_cell_angle_alpha 90.00
_cell_angle_beta 90.00
_cell_angle_gamma 90.00
_symmetry_space_group_name_H-M 'I 4/m m m'
_symmetry_Int_Tables_number 139
_symmetry_space_group_name_Hall '-I 4 2'
loop_
_atom_site_label
_atom_site_fract_x
_atom_site_fract_y
_atom_site_fract_z
Pr1 0.0000 0.0000 0.0000
Hg1 0.0000 0.0000 0.3301



Record 6
# PrHg3 (PBE, optimized geometry)
# Electronic total energy = -14.4 eV/cell
data_PrHg3
_cell_length_a 5.2128
_cell_length_b 5.2128
_cell_length_c 7.4925
_cell_angle_alpha 90.00
_cell_angle_beta 90.00
_cell_angle_gamma 90.00
_symmetry_space_group_name_H-M 'I 4/m m m'
_symmetry_Int_Tables_number 139
_symmetry_space_group_name_Hall '-I 4 2'
loop_
_atom_site_label
_atom_site_fract_x
_atom_site_fract_y
_atom_site_fract_z
Pr1 0.0000 0.0000 0.0000
Hg1 0.0000 0.0000 0.5000
Hg2 0.0000 0.5000 0.2500



Record 7
# Pr3Hg7 (PBE, optimized geometry)
# Electronic total energy = -40.8 eV/cell
data_Pr3Hg7
_cell_length_a 16.8764
_cell_length_b 5.0411
_cell_length_c 6.6535
_cell_angle_alpha 90.00
_cell_angle_beta 109.73
_cell_angle_gamma 90.00
_symmetry_space_group_name_H-M 'C 1 2/m 1'
_symmetry_Int_Tables_number 12
_symmetry_space_group_name_Hall '-C 2y'
loop_
_atom_site_label
_atom_site_fract_x
_atom_site_fract_y
_atom_site_fract_z
Pr1 0.0000 0.0000 0.0000
Pr2 0.2034 0.0000 0.6533
Hg1 0.0000 0.0000 0.5000
Hg2 0.0940 0.5000 0.3469
Hg3 0.1067 0.5000 0.8551
Hg4 0.1957 0.0000 0.1332



Record 8
# Pr2Hg (PBE, optimized geometry)
# Electronic total energy = -21.6 eV/cell
data_Pr2Hg
_cell_length_a 3.8148
_cell_length_b 3.8148
_cell_length_c 12.9322
_cell_angle_alpha 90.00
_cell_angle_beta 90.00
_cell_angle_gamma 90.00
_symmetry_space_group_name_H-M 'P 4/m m m'
_symmetry_Int_Tables_number 123
_symmetry_space_group_name_Hall '-P 4 2'
loop_
_atom_site_label
_atom_site_fract_x
_atom_site_fract_y
_atom_site_fract_z
Pr1 0.0000 0.0000 0.0000
Pr2 0.0000 0.0000 0.3027
Pr3 0.5000 0.5000 0.5000
Hg1 0.5000 0.5000 0.1541



Record 9
# PrHg3 (PBE, optimized geometry)
# Electronic total energy = -11.9 eV/cell
data_PrHg3
_cell_length_a 4.4730
_cell_length_b 4.4730
_cell_length_c 12.3357
_cell_angle_alpha 90.00
_cell_angle_beta 90.00
_cell_angle_gamma 90.00
_symmetry_space_group_name_H-M 'I 4/m m m'
_symmetry_Int_Tables_number 139
_symmetry_space_group_name_Hall '-I 4 2'
loop_
_atom_site_label
_atom_site_fract_x
_atom_site_fract_y
_atom_site_fract_z
Pr1 0.0000 0.0000 0.0000
Hg1 0.0000 0.0000 0.2589
Hg2 0.0000 0.0000 0.5000



Record 10
# PrHg6 (PBE, optimized geometry)
# Polymorph energy (0 for the lowest one) = 0.0 meV/atom
data_PrHg6
_cell_length_a 5.0803
_cell_length_b 5.0803
_cell_length_c 7.3527
_cell_angle_alpha 90.00
_cell_angle_beta 90.00
_cell_angle_gamma 90.00
_symmetry_space_group_name_H-M 'P 4/m m m'
_symmetry_Int_Tables_number 123
_symmetry_space_group_name_Hall '-P 4 2'
loop_
_atom_site_label
_atom_site_fract_x
_atom_site_fract_y
_atom_site_fract_z
Pr1 0.0000 0.0000 0.0000
Hg1 0.0000 0.0000 0.5000
Hg2 0.0000 0.5000 0.2794
Hg3 0.5000 0.5000 0.0000



Record 11
# Pr3Hg (PBE, optimized geometry)
# Polymorph energy (0 for the lowest one) = 56.3 meV/atom
data_Pr3Hg
_cell_length_a 4.9917
_cell_length_b 4.9917
_cell_length_c 4.9917
_cell_angle_alpha 90.00
_cell_angle_beta 90.00
_cell_angle_gamma 90.00
_symmetry_space_group_name_H-M 'P m -3 m'
_symmetry_Int_Tables_number 221
_symmetry_space_group_name_Hall '-P 4 2 3'
loop_
_atom_site_label
_atom_site_fract_x
_atom_site_fract_y
_atom_site_fract_z
Pr1 0.0000 0.0000 0.5000
Hg1 0.5000 0.5000 0.5000



Record 12
# Pr6Hg5 (PBE, optimized geometry)
# Electronic total energy = -68.7 eV/cell
data_Pr6Hg5
_cell_length_a 5.4033
_cell_length_b 7.7353
_cell_length_c 16.1202
_cell_angle_alpha 90.00
_cell_angle_beta 90.00
_cell_angle_gamma 90.00
_symmetry_space_group_name_H-M 'I m m m'
_symmetry_Int_Tables_number 71
_symmetry_space_group_name_Hall '-I 2 2'
loop_
_atom_site_label
_atom_site_fract_x
_atom_site_fract_y
_atom_site_fract_z
Pr1 0.0000 0.2464 0.0000
Pr2 0.0000 0.2534 0.3365
Hg1 0.0000 0.0000 0.1682
Hg2 0.0000 0.0000 0.5000
Hg3 0.0000 0.5000 0.1677